The following is a PBE calculation of an optimized crystal structure of K2BaAl, from the Alexandria database.

Geometry as POSCAR:
```
K2BaAl
1.0
4.8248 0.0000 0.0000
0.0000 4.8248 0.0000
0.0000 0.0000 8.2692
K Ba Al
2 1 1
direct
0.0000 0.0000 0.1999 K
0.0000 0.0000 0.8001 K
0.5000 0.5000 0.5000 Ba
0.5000 0.5000 0.0000 Al
```

Output
Energy of formation from the pure elements, eV per atom: 0.344
Crystal system: tetragonal
Symmetry: No. 123